1.
A plane-wave DFT calculation with PBE was carried out for a geometry-optimized Nd6Pd5Au structure.

Cell and atoms, written as CIF:
```
data_Nd6Pd5Au
_chemical_formula_sum 'Nd6 Pd5 Au1'
_space_group_name_H-M_alt 'P 1'
_space_group_IT_number 1
_cell_length_a 7.313
_cell_length_b 7.313
_cell_length_c 7.332
_cell_angle_alpha 99.56
_cell_angle_beta 99.56
_cell_angle_gamma 119.63
loop_
_space_group_symop_operation_xyz
'x,y,z'
loop_
_atom_site_label
_atom_site_type_symbol
_atom_site_fract_x
_atom_site_fract_y
_atom_site_fract_z
Nd1 Nd 0.072 0.414 0.743
Nd2 Nd 0.239 0.239 0.249
Nd3 Nd 0.414 0.072 0.743
Nd4 Nd 0.586 0.928 0.257
Nd5 Nd 0.761 0.761 0.751
Nd6 Nd 0.928 0.586 0.257
Pd1 Pd 0.000 0.000 0.500
Pd2 Pd 0.169 0.831 0.000
Pd3 Pd 0.339 0.661 0.500
Pd4 Pd 0.661 0.339 0.500
Pd5 Pd 0.831 0.169 0.000
Au1 Au 0.500 0.500 0.000
```

**SG**: C2/m (12)
**Density of states at the Fermi level**: 7.06 states/eV per cell
**Total magnetic moment**: 0.00 Bohr magnetons per cell
**V**: 26.81 Å³/atom
**DFT formation energy**: -0.677 eV per atom

***

2.
A plane-wave DFT calculation with PBE was carried out for a geometry-optimized BaZnBr structure.

Cell and atoms, written as CIF:
```
data_BaZnBr
_chemical_formula_sum 'Ba1 Zn1 Br1'
_space_group_name_H-M_alt 'P 1'
_space_group_IT_number 1
_cell_length_a 5.557
_cell_length_b 5.557
_cell_length_c 5.557
_cell_angle_alpha 60.00
_cell_angle_beta 60.00
_cell_angle_gamma 60.00
loop_
_space_group_symop_operation_xyz
'x,y,z'
loop_
_atom_site_label
_atom_site_type_symbol
_atom_site_fract_x
_atom_site_fract_y
_atom_site_fract_z
Ba1 Ba 0.000 0.000 0.000
Zn1 Zn 0.750 0.750 0.750
Br1 Br 0.250 0.250 0.250
```

**Energy relative to the elements, uncorrected**: -15.9 kcal/mol of atoms
**SG**: F-43m (216)
**Density of states at the Fermi level**: 3.46 states/eV per cell
**Total magnetic moment**: 0.60 Bohr magnetons per cell
**V**: 40.45 Å³/atom

***

3.
A plane-wave DFT calculation with PBE was carried out for a geometry-optimized Li2ZnAs structure.

Cell and atoms, written as CIF:
```
data_Li2ZnAs
_chemical_formula_sum 'Li2 Zn1 As1'
_space_group_name_H-M_alt 'P 1'
_space_group_IT_number 1
_cell_length_a 8.794
_cell_length_b 8.794
_cell_length_c 8.794
_cell_angle_alpha 19.77
_cell_angle_beta 19.77
_cell_angle_gamma 19.77
loop_
_space_group_symop_operation_xyz
'x,y,z'
loop_
_atom_site_label
_atom_site_type_symbol
_atom_site_fract_x
_atom_site_fract_y
_atom_site_fract_z
Li1 Li 0.242 0.242 0.242
Li2 Li 0.758 0.758 0.758
Zn1 Zn 0.000 0.000 0.000
As1 As 0.500 0.500 0.500
```

**SG**: R-3m (166)
**Density of states at the Fermi level**: 3.03 states/eV per cell
**Total magnetic moment**: 0.00 Bohr magnetons per cell
**V**: 17.01 Å³/atom
**DFT formation energy**: -0.214 eV per atom

***

4.
A plane-wave DFT calculation with PBE was carried out for a geometry-optimized Be2Nb5Ge structure.

Cell and atoms, written as CIF:
```
data_Be2Nb5Ge
_chemical_formula_sum 'Be4 Nb10 Ge2'
_space_group_name_H-M_alt 'P 1'
_space_group_IT_number 1
_cell_length_a 7.444
_cell_length_b 7.444
_cell_length_c 7.444
_cell_angle_alpha 128.15
_cell_angle_beta 128.15
_cell_angle_gamma 76.38
loop_
_space_group_symop_operation_xyz
'x,y,z'
loop_
_atom_site_label
_atom_site_type_symbol
_atom_site_fract_x
_atom_site_fract_y
_atom_site_fract_z
Be1 Be 0.120 0.620 0.741
Be2 Be 0.380 0.120 0.500
Be3 Be 0.620 0.880 0.500
Be4 Be 0.880 0.380 0.259
Nb1 Nb 0.000 0.000 0.000
Nb2 Nb 0.027 0.189 0.500
Nb3 Nb 0.189 0.689 0.162
Nb4 Nb 0.311 0.473 0.500
Nb5 Nb 0.473 0.973 0.162
Nb6 Nb 0.500 0.500 0.000
Nb7 Nb 0.527 0.027 0.838
Nb8 Nb 0.689 0.527 0.500
Nb9 Nb 0.811 0.311 0.838
Nb10 Nb 0.973 0.811 0.500
Ge1 Ge 0.250 0.250 0.000
Ge2 Ge 0.750 0.750 0.000
```

**SG**: I4/mcm (140)
**Density of states at the Fermi level**: 12.39 states/eV per cell
**Total magnetic moment**: 0.00 Bohr magnetons per cell
**V**: 15.49 Å³/atom
**DFT formation energy**: -0.306 eV per atom